# 1
Below is a relaxed Zr2MoPb crystal, with properties calculated at the GGA-PBEsol level.

Values from the calculation:
As for the space-group type: Imm2, No. 44. The calculation puts the formation energy at 0.02 eV/atom.

a b c (Å): 5.6474 5.6474 5.6474
angles (deg): 143.16 130.55 63.23
With the nearest neighbours (Å) after each atom.
Element x y z (fractional)
Zr  0.0000  0.0000  0.0000  2 Mo 2.79, 4 Pb 2.98, 2 Zr 3.09
Zr  0.7371  0.2371  0.5000  4 Mo 2.96, 4 Zr 3.09-3.28, 4 Pb 3.14-3.24
Mo  0.2224  0.7224  0.5000  6 Zr 2.79-2.96, 2 Pb 2.96
Pb  0.4680  0.4680  0.0000  2 Mo 2.96, 8 Zr 2.98-3.24

=====

# 2
Below is a relaxed ZrMoPb2 crystal, with properties calculated at the GGA-PBEsol level.

Values from the calculation:
As for the space-group type: Cm, No. 8. Its excess energy over the best structure of this formula in the dataset is 0 meV/atom. The calculation puts the formation energy at 0.31 eV/atom.

a b c (Å): 5.6574 5.6574 4.9590
angles (deg): 111.41 111.41 35.74
With the nearest neighbours (Å) after each atom.
Element x y z (fractional)
Zr  0.0000  0.0000  0.0000  2 Mo 2.77, 5 Pb 3.03-3.08
Mo  0.2889  0.2889  0.7266  2 Zr 2.77, 6 Pb 3.02-3.05
Pb  0.5412  0.5412  0.5412  3 Mo 3.02-3.18, 4 Zr 3.03-3.08, 3 Pb 3.28
Pb  0.7660  0.7660  0.2116  4 Mo 3.02-3.05, 3 Zr 3.08-3.16, 3 Pb 3.28

=====

# 3
Below is a relaxed MoPd2 crystal, with properties calculated at the GGA-PBEsol level.

Values from the calculation:
As for the space-group type: Immm, No. 71. The calculation puts the formation energy at -0.14 eV/atom.

a b c (Å): 4.7214 4.7214 4.7214
angles (deg): 146.50 131.01 60.65
With the nearest neighbours (Å) after each atom.
Element x y z (fractional)
Mo  0.0000  0.0000  0.0000  2 Mo 2.72, 10 Pd 2.73-2.74
Pd  0.3347  0.3347  0.0000  7 Pd 2.70-2.75, 5 Mo 2.73-2.74
Pd  0.6653  0.6653  0.0000  7 Pd 2.70-2.75, 5 Mo 2.73-2.74

=====

# 4
Below is a relaxed MoPd3 crystal, with properties calculated at the GGA-PBEsol level.

Values from the calculation:
As for the space-group type: R-3m, No. 166. The calculation puts the formation energy at -0.07 eV/atom.

a b c (Å): 9.1087 9.1087 9.1087
angles (deg): 17.31 17.31 17.31
With the nearest neighbours (Å) after each atom.
Element x y z (fractional)
Mo  0.0000  0.0000  0.0000  6 Pd 2.71, 6 Mo 2.74
Pd  0.2516  0.2516  0.2516  3 Mo 2.71, 9 Pd 2.74-2.78
Pd  0.5000  0.5000  0.5000  12 Pd 2.74-2.78
Pd  0.7484  0.7484  0.7484  3 Mo 2.71, 9 Pd 2.74-2.78

=====

# 5
Below is a relaxed MoPd2Pt2 crystal, with properties calculated at the GGA-PBEsol level.

Values from the calculation:
As for the space-group type: I4/mmm, No. 139. The calculation puts the formation energy at 0.55 eV/atom.

a b c (Å): 6.9489 6.9489 6.9489
angles (deg): 150.17 150.17 42.69
With the nearest neighbours (Å) after each atom.
Element x y z (fractional)
Mo  0.0000  0.0000  0.0000  8 Pd 2.82
Pd  0.4036  0.4036  0.0000  1 Pd 2.50, 4 Pt 2.67
Pd  0.5964  0.5964  0.0000  1 Pd 2.50, 4 Pt 2.67
Pt  0.2500  0.7500  0.5000  4 Pt 2.53, 4 Pd 2.67
Pt  0.7500  0.2500  0.5000  4 Pt 2.53, 4 Pd 2.67

=====

# 6
Below is a relaxed MoPd2RuPt crystal, with properties calculated at the GGA-PBEsol level.

Values from the calculation:
As for the space-group type: P4/mmm, No. 123. The calculation puts the formation energy at 1.74 eV/atom.

a b c (Å): 4.6120 4.6120 4.6830
angles (deg): 90.00 90.00 90.00
With the nearest neighbours (Å) after each atom.
Element x y z (fractional)
Mo  0.0000  0.0000  0.0000  4 Pd 2.31, 2 Pt 2.34
Pd  0.0000  0.5000  0.0000  2 Mo 2.31
Pd  0.5000  0.0000  0.0000  2 Mo 2.31
Ru  0.5000  0.5000  0.5000  4 Pt 3.26, 8 Pd 3.29
Pt  0.0000  0.0000  0.5000  2 Mo 2.34

=====

# 7
Below is a relaxed Rb2MoPd crystal, with properties calculated at the GGA-PBEsol level.

Values from the calculation:
As for the space-group type: Fm-3m, No. 225. The calculation puts the formation energy at 1.62 eV/atom.

a b c (Å): 5.6706 5.6706 5.6706
angles (deg): 60.00 60.00 60.00
With the nearest neighbours (Å) after each atom.
Element x y z (fractional)
Rb  0.2500  0.2500  0.2500  4 Pd 3.47, 4 Mo 3.47
Rb  0.7500  0.7500  0.7500  4 Pd 3.47, 4 Mo 3.47
Mo  0.0000  0.0000  0.0000  8 Rb 3.47
Pd  0.5000  0.5000  0.5000  8 Rb 3.47

=====

# 8
Below is a relaxed ReMoPd3 crystal, with properties calculated at the GGA-PBEsol level.

Values from the calculation:
As for the space-group type: Pm-3m, No. 221. The calculation puts the formation energy at 2.00 eV/atom.

a b c (Å): 4.6213 4.6213 4.6213
angles (deg): 90.00 90.00 90.00
With the nearest neighbours (Å) after each atom.
Element x y z (fractional)
Re  0.0000  0.0000  0.0000  12 Pd 3.27
Mo  0.5000  0.5000  0.5000  6 Pd 2.31
Pd  0.0000  0.5000  0.5000  2 Mo 2.31
Pd  0.5000  0.0000  0.5000  2 Mo 2.31
Pd  0.5000  0.5000  0.0000  2 Mo 2.31